DFT (GGA+U) results for a geometry-optimized K2NaCrO4 structure.

- final energy (eV/atom) = -5.49
- M_tot (μB per atom) = 0.13
- calculated volume (Å³/f.u.) = 139.01

The structure in CIF format:
```
data_K2NaCrO4
_chemical_formula_sum 'K2 Na1 Cr1 O4'
_space_group_name_H-M_alt 'P 1'
_space_group_IT_number 1
_space_group_name_Hall 'P 1'
_cell_length_a 5.713
_cell_length_b 5.713
_cell_length_c 5.713
_cell_angle_alpha 97.57
_cell_angle_beta 115.73
_cell_angle_gamma 115.73
loop_
_atom_site_label
_atom_site_type_symbol
_atom_site_fract_x
_atom_site_fract_y
_atom_site_fract_z
K1 K 0.000 0.000 0.000
K2 K 0.500 0.750 0.250
Cr1 Cr 0.000 0.500 0.500
O1 O 0.662 0.431 0.478
O2 O 0.338 0.816 0.769
O3 O 0.047 0.231 0.569
O4 O 0.953 0.522 0.184
Na1 Na 0.500 0.250 0.750
```